# 1
# AlZn2Co (PBE, relaxed)
# * E_form: 0.244 eV/atom
# * N(E_F): 0.5667 states/eV/atom
# * total magnetic moment: 0.003 μB/atom
data_AlZn2Co
_chemical_formula_sum 'Al4 Zn8 Co4'
_cell_length_a 7.033
_cell_length_b 7.033
_cell_length_c 4.887
_cell_angle_alpha 90.00
_cell_angle_beta 90.00
_cell_angle_gamma 90.00
_space_group_name_H-M_alt 'I -4 2 d'
_space_group_IT_number 122
_space_group_name_Hall 'I -4 2bw'
loop_
_atom_site_label
_atom_site_type_symbol
_atom_site_fract_x
_atom_site_fract_y
_atom_site_fract_z
Al1 Al 0.000 0.000 0.000
Zn1 Zn 0.216 0.750 0.625
Co1 Co 0.000 0.000 0.500

***

# 2
# Co2CuTc (PBE, relaxed)
# * E_form: 0.190 eV/atom
# * N(E_F): 1.2822 states/eV/atom
# * total magnetic moment: 0.493 μB/atom
data_Co2CuTc
_chemical_formula_sum 'Co4 Cu2 Tc2'
_cell_length_a 8.586
_cell_length_b 2.566
_cell_length_c 4.438
_cell_angle_alpha 90.00
_cell_angle_beta 100.85
_cell_angle_gamma 90.00
_space_group_name_H-M_alt 'C 1 m 1'
_space_group_IT_number 8
_space_group_name_Hall 'C -2y'
loop_
_atom_site_label
_atom_site_type_symbol
_atom_site_fract_x
_atom_site_fract_y
_atom_site_fract_z
Co1 Co 0.000 0.000 0.000
Co2 Co 0.235 0.500 0.270
Cu1 Cu 0.489 0.000 0.492
Tc1 Tc 0.249 0.000 0.783

***

# 3
# Pm2SmHfP4 (PBE, relaxed)
# * E_form: -1.480 eV/atom
# * N(E_F): 0.1822 states/eV/atom
# * total magnetic moment: 0.000 μB/atom
data_Pm2SmHfP4
_chemical_formula_sum 'Pm2 Sm1 Hf1 P4'
_cell_length_a 6.939
_cell_length_b 3.999
_cell_length_c 6.942
_cell_angle_alpha 90.00
_cell_angle_beta 109.20
_cell_angle_gamma 90.00
_space_group_name_H-M_alt 'P 1 2/m 1'
_space_group_IT_number 10
_space_group_name_Hall '-P 2y'
loop_
_atom_site_label
_atom_site_type_symbol
_atom_site_fract_x
_atom_site_fract_y
_atom_site_fract_z
Pm1 Pm 0.000 0.000 0.000
Pm2 Pm 0.500 0.500 0.000
Sm1 Sm 0.000 0.500 0.500
Hf1 Hf 0.500 0.000 0.500
P1 P 0.260 0.000 0.738
P2 P 0.269 0.500 0.270

***

# 4
# NaCuBSe3 (PBE, relaxed)
# * N(E_F): 0.3517 states/eV/atom
# * uncorrected energy: -4.0330 eV per atom
# * total magnetic moment: 0.000 μB/atom
data_NaCuBSe3
_chemical_formula_sum 'Na2 Cu2 B2 Se6'
_cell_length_a 8.093
_cell_length_b 3.272
_cell_length_c 10.646
_cell_angle_alpha 90.00
_cell_angle_beta 111.48
_cell_angle_gamma 90.00
_space_group_name_H-M_alt 'P 1 21/m 1'
_space_group_IT_number 11
_space_group_name_Hall '-P 2yb'
loop_
_atom_site_label
_atom_site_type_symbol
_atom_site_fract_x
_atom_site_fract_y
_atom_site_fract_z
Na1 Na 0.192 0.250 0.179
Cu1 Cu 0.420 0.250 0.903
B1 B 0.284 0.750 0.550
Se1 Se 0.103 0.750 0.377
Se2 Se 0.241 0.750 0.961
Se3 Se 0.393 0.250 0.659

***

# 5
# NbCrCo4 (PBE, relaxed)
# * E_form: 0.095 eV/atom
# * N(E_F): 1.2070 states/eV/atom
# * total magnetic moment: 0.530 μB/atom
data_NbCrCo4
_chemical_formula_sum 'Nb2 Cr2 Co8'
_cell_length_a 4.072
_cell_length_b 5.111
_cell_length_c 7.046
_cell_angle_alpha 90.00
_cell_angle_beta 90.00
_cell_angle_gamma 90.00
_space_group_name_H-M_alt 'P m m a'
_space_group_IT_number 51
_space_group_name_Hall '-P 2a 2a'
loop_
_atom_site_label
_atom_site_type_symbol
_atom_site_fract_x
_atom_site_fract_y
_atom_site_fract_z
Nb1 Nb 0.250 0.000 0.226
Cr1 Cr 0.250 0.500 0.276
Co1 Co 0.250 0.248 0.582
Co2 Co 0.250 0.277 0.914

***

# 6
# Zr2InP (PBE, relaxed)
# * E_form: -0.549 eV/atom
# * N(E_F): 0.6088 states/eV/atom
# * total magnetic moment: 0.000 μB/atom
data_Zr2InP
_chemical_formula_sum 'Zr4 In2 P2'
_cell_length_a 3.743
_cell_length_b 5.231
_cell_length_c 8.403
_cell_angle_alpha 90.00
_cell_angle_beta 90.00
_cell_angle_gamma 90.00
_space_group_name_H-M_alt 'I m m m'
_space_group_IT_number 71
_space_group_name_Hall '-I 2 2'
loop_
_atom_site_label
_atom_site_type_symbol
_atom_site_fract_x
_atom_site_fract_y
_atom_site_fract_z
Zr1 Zr 0.000 0.000 0.213
In1 In 0.000 0.500 0.000
P1 P 0.000 0.500 0.500